Record 1
# PBE Tb3Sm7Dy2, relaxed
data_Tb3Sm7Dy2
_chemical_formula_sum 'Tb6 Sm14 Dy4'
_symmetry_space_group_name_H-M 'C m m m'
_symmetry_Int_Tables_number 65
_symmetry_space_group_name_Hall '-C 2 2'
_cell_length_a 5.772
_cell_length_b 38.175
_cell_length_c 3.619
_cell_angle_alpha 90.00
_cell_angle_beta 90.00
_cell_angle_gamma 90.00
loop_
_atom_site_label
_atom_site_type_symbol
_atom_site_fract_x
_atom_site_fract_y
_atom_site_fract_z
_atom_site_occupancy
Tb1 Tb 0.000 0.000 0.000 1
Tb2 Tb 0.000 0.185 0.000 1
Sm1 Sm 0.000 0.092 0.500 1
Sm2 Sm 0.000 0.268 0.500 1
Sm3 Sm 0.000 0.427 0.000 1
Sm4 Sm 0.000 0.500 0.500 1
Dy1 Dy 0.000 0.352 0.500 1
# DOS(E_F) ... 37.0 states/eV per cell
# E ... -4.568 eV/atom
# Energy above the most stable polymorph in this dataset ... 0 meV per atom
# ΔH_f (0 K) ... 1.312 eV/f.u.



Record 2
# PBE TbSm4Dy5, relaxed
data_TbSm4Dy5
_chemical_formula_sum 'Tb2 Sm8 Dy10'
_symmetry_space_group_name_H-M 'I 4 m m'
_symmetry_Int_Tables_number 107
_symmetry_space_group_name_Hall 'I 4 -2'
_cell_length_a 10.626
_cell_length_b 10.626
_cell_length_c 5.953
_cell_angle_alpha 90.00
_cell_angle_beta 90.00
_cell_angle_gamma 90.00
loop_
_atom_site_label
_atom_site_type_symbol
_atom_site_fract_x
_atom_site_fract_y
_atom_site_fract_z
_atom_site_occupancy
Tb1 Tb 0.000 0.000 0.000 1
Sm1 Sm 0.000 0.324 0.761 1
Dy1 Dy 0.000 0.000 0.527 1
Dy2 Dy 0.189 0.189 0.264 1
# DOS(E_F) ... 27.0 states/eV per cell
# E ... -4.403 eV/atom
# Energy above the most stable polymorph in this dataset ... 63 meV per atom
# ΔH_f (0 K) ... 2.486 eV/f.u.



Record 3
# PBE TbSmDy3, relaxed
data_TbSmDy3
_chemical_formula_sum 'Tb2 Sm2 Dy6'
_symmetry_space_group_name_H-M 'P 1 21/m 1'
_symmetry_Int_Tables_number 11
_symmetry_space_group_name_Hall '-P 2yb'
_cell_length_a 3.608
_cell_length_b 11.601
_cell_length_c 8.539
_cell_angle_alpha 90.00
_cell_angle_beta 102.18
_cell_angle_gamma 90.00
loop_
_atom_site_label
_atom_site_type_symbol
_atom_site_fract_x
_atom_site_fract_y
_atom_site_fract_z
_atom_site_occupancy
Tb1 Tb 0.177 0.250 0.359 1
Sm1 Sm 0.499 0.750 0.985 1
Dy1 Dy 0.163 0.750 0.321 1
Dy2 Dy 0.344 0.000 0.689 1
# DOS(E_F) ... 16.0 states/eV per cell
# E ... -4.325 eV/atom
# Energy above the most stable polymorph in this dataset ... 293 meV per atom
# ΔH_f (0 K) ... 1.529 eV/f.u.